Entry 1:
DFT (PBE) results for a relaxed ThNi4Pt crystal.

It has space group F-43m (No. 216), with a = 7.053 Å, b = 7.053 Å, c = 7.053 Å, α = 90.00°, β = 90.00° and γ = 90.00°. The inequivalent atoms are Th at (0.000, 0.000, 0.000), Ni at (0.124, 0.124, 0.376) and Pt at (0.250, 0.250, 0.750).

For the total magnetization, the calculation gives 1.24 μB per formula unit. For the density of states at the Fermi level, the calculation gives 1.38 states/eV/atom. The total energy comes out at -0.2411 hartree per atom. The density is 12.5 g/cm³. For the distance to the lowest polymorph of the same formula, the calculation gives 0.000 eV per atom.

---

Entry 2:
DFT (PBE) results for a relaxed Th4Ni3Pt crystal.

It has space group Pmm2 (No. 25), with a = 3.807 Å, b = 4.362 Å, c = 10.895 Å, α = 90.00°, β = 90.00° and γ = 90.00°. The inequivalent atoms are Th at (0.000, 0.000, 0.000), Th at (0.000, 0.500, 0.267), Th at (0.500, 0.000, 0.480), Th at (0.500, 0.500, 0.764), Ni at (0.000, 0.500, 0.539), Ni at (0.500, 0.000, 0.204), Ni at (0.500, 0.500, 0.044) and Pt at (0.000, 0.000, 0.714).

For the total magnetization, the calculation gives 0.00 μB per formula unit. For the density of states at the Fermi level, the calculation gives 0.97 states/eV/atom. The total energy comes out at -0.2662 hartree per atom. The density is 11.9 g/cm³.

---

Entry 3:
DFT (PBE) results for a relaxed ThNi2Pt6 crystal.

It has space group Fd-3m (No. 227, origin choice 2), with a = 11.231 Å, b = 11.231 Å, c = 11.231 Å, α = 90.00°, β = 90.00° and γ = 90.00°. The inequivalent atoms are Th at (0.125, 0.125, 0.125), Ni at (0.000, 0.000, 0.500) and Pt at (0.124, 0.375, 0.375).

For the total magnetization, the calculation gives 2.41 μB per formula unit. For the density of states at the Fermi level, the calculation gives 0.93 states/eV/atom. The total energy comes out at -0.2304 hartree per atom. The density is 14.3 g/cm³.

---

Entry 4:
DFT (PBE) results for a relaxed ThNi2Pt crystal.

It has space group R-3m (No. 166, hexagonal axes), with a = 4.3355 Å, b = 4.3355 Å, c = 13.1812 Å, α = 90.00°, β = 90.00° and γ = 120.00°. The inequivalent atoms are Th at (0.0000, 0.0000, 0.0000), Ni at (0.0000, 0.0000, 0.2015) and Pt at (0.0000, 0.0000, 0.5000).

For the total magnetization, the calculation gives 0.00 μB per formula unit. For the density of states at the Fermi level, the calculation gives 0.65 states/eV/atom. The total energy comes out at -0.2528 hartree per atom. The density is 12.6 g/cm³.

---

Entry 5:
DFT (PBE) results for a relaxed ThNi4Pt2 crystal.

It has space group I4/mmm (No. 139), with a = 7.145 Å, b = 7.145 Å, c = 5.275 Å, α = 90.00°, β = 90.00° and γ = 90.00°. The inequivalent atoms are Th at (0.000, 0.000, 0.000), Ni at (0.000, 0.216, 0.500) and Pt at (0.000, 0.500, 0.250).

For the total magnetization, the calculation gives 2.00 μB per formula unit. For the density of states at the Fermi level, the calculation gives 0.89 states/eV/atom. The total energy comes out at -0.2184 hartree per atom. The density is 10.6 g/cm³.

---

Entry 6:
DFT (PBE) results for a relaxed ThNi2Pt4 crystal.

It has space group Immm (No. 71), with a = 5.209 Å, b = 6.720 Å, c = 6.732 Å, α = 90.00°, β = 90.00° and γ = 90.00°. The inequivalent atoms are Th at (0.000, 0.000, 0.000), Ni at (0.250, 0.000, 0.500) and Pt at (0.000, 0.297, 0.297).

For the total magnetization, the calculation gives 1.26 μB per formula unit. For the density of states at the Fermi level, the calculation gives 1.39 states/eV/atom. The total energy comes out at -0.2473 hartree per atom. The density is 15.9 g/cm³. For the distance to the lowest polymorph of the same formula, the calculation gives 0.000 eV per atom.

---

Entry 7:
DFT (PBE) results for a relaxed Th2Ni2Pt crystal.

It has space group Immm (No. 71), with a = 4.117 Å, b = 6.212 Å, c = 7.846 Å, α = 90.00°, β = 90.00° and γ = 90.00°. The inequivalent atoms are Th at (0.000, 0.000, 0.223), Ni at (0.000, 0.304, 0.500) and Pt at (0.000, 0.500, 0.000).

For the total magnetization, the calculation gives 0.00 μB per formula unit. For the density of states at the Fermi level, the calculation gives 0.72 states/eV/atom. The total energy comes out at -0.2650 hartree per atom. The density is 12.9 g/cm³. For the distance to the lowest polymorph of the same formula, the calculation gives 0.020 eV per atom.

---

Entry 8:
DFT (PBE) results for a relaxed ThNiPt crystal.

It has space group Pmma (No. 51), with a = 4.561 Å, b = 3.680 Å, c = 7.254 Å, α = 90.00°, β = 90.00° and γ = 90.00°. The inequivalent atoms are Th at (0.250, 0.000, 0.249), Ni at (0.250, 0.500, 0.541) and Pt at (0.250, 0.500, 0.889).

For the total magnetization, the calculation gives 0.00 μB per formula unit. For the density of states at the Fermi level, the calculation gives 0.82 states/eV/atom. The total energy comes out at -0.2647 hartree per atom. The density is 13.3 g/cm³.

---

Entry 9:
DFT (PBE) results for a relaxed ThNi5Pt2 crystal.

It has space group Immm (No. 71), with a = 3.795 Å, b = 6.861 Å, c = 9.491 Å, α = 90.00°, β = 90.00° and γ = 90.00°. The inequivalent atoms are Th at (0.000, 0.000, 0.000), Ni at (0.000, 0.173, 0.373), Ni at (0.000, 0.500, 0.000) and Pt at (0.000, 0.500, 0.264).

For the total magnetization, the calculation gives 0.69 μB per formula unit. For the density of states at the Fermi level, the calculation gives 1.43 states/eV/atom. The total energy comes out at -0.2317 hartree per atom. The density is 12.3 g/cm³.

---

Entry 10:
DFT (PBE) results for a relaxed ThNiPt crystal.

It has space group P3m1 (No. 156), with a = 4.3240 Å, b = 4.3240 Å, c = 3.7834 Å, α = 90.00°, β = 90.00° and γ = 120.00°. The inequivalent atoms are Th at (0.0000, 0.0000, 0.0000), Ni at (0.6667, 0.3333, 0.4984) and Pt at (0.3333, 0.6667, 0.5005).

For the total magnetization, the calculation gives 0.00 μB per formula unit. For the density of states at the Fermi level, the calculation gives 1.54 states/eV/atom. The total energy comes out at -0.2650 hartree per atom. The density is 13.2 g/cm³.

---

Entry 11:
DFT (PBE) results for a relaxed ThNi8Pt3 crystal.

It has space group P3m1 (No. 156), with a = 4.8666 Å, b = 4.8666 Å, c = 7.9051 Å, α = 90.00°, β = 90.00° and γ = 120.00°. The inequivalent atoms are Th at (0.0000, 0.0000, 0.0000), Ni at (0.1657, 0.3313, 0.6731), Ni at (0.3333, 0.6667, 0.4299), Ni at (0.3333, 0.6667, 0.9279), Ni at (0.5026, 0.0052, 0.1950), Pt at (0.0000, 0.0000, 0.3837), Pt at (0.6667, 0.3333, 0.4940) and Pt at (0.6667, 0.3333, 0.8551).

For the total magnetization, the calculation gives 3.55 μB per formula unit. For the density of states at the Fermi level, the calculation gives 1.24 states/eV/atom. The total energy comes out at -0.2280 hartree per atom. The density is 13.2 g/cm³.

---

Entry 12:
DFT (PBE) results for a relaxed ThNiPt crystal.

It has space group I4mm (No. 107), with a = 3.755 Å, b = 3.755 Å, c = 8.601 Å, α = 90.00°, β = 90.00° and γ = 90.00°. The inequivalent atoms are Th at (0.000, 0.000, 0.000), Ni at (0.000, 0.000, 0.666) and Pt at (0.000, 0.000, 0.343).

For the total magnetization, the calculation gives 0.00 μB per formula unit. For the density of states at the Fermi level, the calculation gives 0.53 states/eV/atom. The total energy comes out at -0.2600 hartree per atom. The density is 13.3 g/cm³.

---

Copy entry 6 word for word.
DFT (PBE) results for a relaxed ThNi2Pt4 crystal.

It has space group Immm (No. 71), with a = 5.209 Å, b = 6.720 Å, c = 6.732 Å, α = 90.00°, β = 90.00° and γ = 90.00°. The inequivalent atoms are Th at (0.000, 0.000, 0.000), Ni at (0.250, 0.000, 0.500) and Pt at (0.000, 0.297, 0.297).

For the total magnetization, the calculation gives 1.26 μB per formula unit. For the density of states at the Fermi level, the calculation gives 1.39 states/eV/atom. The total energy comes out at -0.2473 hartree per atom. The density is 15.9 g/cm³. For the distance to the lowest polymorph of the same formula, the calculation gives 0.000 eV per atom.